! CsMoO2F (GGA+U, optimized geometry); values from VASP
&SYSTEM
  ibrav = 0, nat = 5, ntyp = 4
/
ATOMIC_SPECIES
Cs 132.91 Cs.upf
Mo 95.94 Mo.upf
O 16.00 O.upf
F 19.00 F.upf
ATOMIC_POSITIONS angstrom
Cs 0.0000 0.0000 0.0000
Mo 2.2353 2.2353 2.6332
O 0.0000 2.2353 0.0000
O 2.2353 0.0000 0.0000
F 0.0000 0.0000 2.6332
CELL_PARAMETERS angstrom
4.4705 0.0000 0.0000
0.0000 4.4705 0.0000
0.0000 0.0000 5.2664
! Volume = 21.050 A^3/atom
! Symmetry = No. 123
! DFT total energy = -0.2656 Ry per atom